CuPtAu6 GGA-PBE optimized geometry; relative energy among the computed polymorphs = 0.115 eV/atom; size of the total moment = 0.00 μB/f.u.; E_form = 0.124 eV per atom
1.0
4.726 0.000 0.000
0.305 5.318 0.000
0.028 1.196 5.787
Cu Pt Au
1 1 6
direct
0.000 0.000 0.000
0.500 0.500 0.500
0.010 0.456 0.250
0.249 0.027 0.610
0.495 0.258 0.971
0.505 0.742 0.029
0.751 0.973 0.390
0.990 0.544 0.750